1.
Compound: Pr2Nd3Au7
Source: Alexandria via LeMat-Bulk
Functional: PBE
Structure: relaxed

Computed properties:
space group: Cmmm (65)

a b c (Å): 5.4756 5.2025 11.3973
angles (deg): 103.19 90.00 90.00
Closest atoms and distances in Å follow each position.
Sites, in units of the cell vectors:
Pr (0.0000, 0.8590, 0.7179)  8 Au 3.00-3.14
Pr (0.0000, 0.1410, 0.2821)  8 Au 3.00-3.14
Nd (0.5000, 0.5000, 0.0000)  8 Au 3.15-3.22
Nd (0.5000, 0.6659, 0.3318)  4 Au 2.99-3.16
Nd (0.5000, 0.3341, 0.6682)  4 Au 2.99-3.16
Au (0.0000, 0.4299, 0.8599)  4 Au 3.03-3.34, 2 Pr 3.04, 2 Nd 3.15
Au (0.0000, 0.7205, 0.4411)  2 Au 2.91, 2 Nd 2.99, 3 Pr 3.07-3.14
Au (0.0000, 0.0000, 0.0000)  8 Au 3.03-3.33, 2 Pr 3.13
Au (0.0000, 0.5701, 0.1401)  4 Au 3.03-3.34, 2 Pr 3.04, 2 Nd 3.15
Au (0.5000, 0.0854, 0.1709)  2 Pr 3.00, 4 Nd 3.16-3.22, 2 Au 3.33
Au (0.5000, 0.9146, 0.8291)  2 Pr 3.00, 4 Nd 3.16-3.22, 2 Au 3.33
Au (0.0000, 0.2795, 0.5589)  2 Au 2.91, 2 Nd 2.99, 3 Pr 3.07-3.14

=====

2.
Compound: Pr2NdAu3
Source: Alexandria via LeMat-Bulk
Functional: PBE
Structure: relaxed

Computed properties:
space group: Cmmm (65)
ΔE to the lowest computed polymorph: 0 meV per atom

a b c (Å): 5.3078 8.3846 7.4156
angles (deg): 90.00 90.00 71.55
Closest atoms and distances in Å follow each position.
Sites, in units of the cell vectors:
Pr (0.0000, 0.0000, 0.0000)  8 Au 3.23
Pr (0.0000, 0.0000, 0.5000)  8 Au 3.24-3.27
Pr (0.3335, 0.3330, 0.5000)  8 Au 3.24-3.25
Pr (0.6665, 0.6670, 0.5000)  8 Au 3.24-3.25
Nd (0.3333, 0.3333, 0.0000)  8 Au 3.20-3.23
Nd (0.6667, 0.6667, 0.0000)  8 Au 3.20-3.23
Au (0.8322, 0.3355, 0.7538)  3 Nd 3.20-3.22, 5 Pr 3.23-3.27
Au (0.5000, 0.0000, 0.2485)  2 Nd 3.23, 6 Pr 3.23-3.24
Au (0.1678, 0.6645, 0.2462)  3 Nd 3.20-3.22, 5 Pr 3.23-3.27
Au (0.8323, 0.3355, 0.2462)  3 Nd 3.20-3.22, 5 Pr 3.23-3.27
Au (0.1677, 0.6645, 0.7538)  3 Nd 3.20-3.22, 5 Pr 3.23-3.27
Au (0.5000, 0.0000, 0.7515)  2 Nd 3.23, 6 Pr 3.23-3.24

=====

3.
Compound: PrNd2Au2
Source: Alexandria via LeMat-Bulk
Functional: PBE
Structure: relaxed

Computed properties:
space group: P4/mbm (127)
ΔE to the lowest computed polymorph: 0 meV per atom

a b c (Å): 3.9248 8.4615 8.4615
angles (deg): 90.00 90.00 90.00
Closest atoms and distances in Å follow each position.
Sites, in units of the cell vectors:
Pr (0.5000, 0.5000, 0.0000)  4 Au 3.33, 8 Nd 3.72
Pr (0.5000, 0.0000, 0.5000)  4 Au 3.33, 8 Nd 3.72
Nd (0.0000, 0.6645, 0.3355)  6 Au 3.17
Nd (0.0000, 0.8355, 0.8355)  6 Au 3.17
Nd (0.0000, 0.1645, 0.1645)  6 Au 3.17
Nd (0.0000, 0.3355, 0.6645)  6 Au 3.17
Au (0.5000, 0.3720, 0.3720)  1 Au 3.06, 6 Nd 3.17, 2 Pr 3.33
Au (0.5000, 0.8720, 0.1280)  1 Au 3.06, 6 Nd 3.17, 2 Pr 3.33
Au (0.5000, 0.1280, 0.8720)  1 Au 3.06, 6 Nd 3.17, 2 Pr 3.33
Au (0.5000, 0.6280, 0.6280)  1 Au 3.06, 6 Nd 3.17, 2 Pr 3.33

=====

4.
Compound: Pr2NdAu
Source: Alexandria via LeMat-Bulk
Functional: PBE
Structure: relaxed

Computed properties:
space group: Cmcm (63)
ΔE to the lowest computed polymorph: 25 meV per atom

a b c (Å): 4.9980 6.6355 8.2028
angles (deg): 90.00 90.00 112.11
Closest atoms and distances in Å follow each position.
Sites, in units of the cell vectors:
Pr (0.3596, 0.7190, 0.5335)  3 Au 3.00-3.17
Pr (0.6404, 0.2810, 0.4665)  3 Au 3.00-3.17
Pr (0.3596, 0.7190, 0.9665)  3 Au 3.00-3.17
Pr (0.6404, 0.2810, 0.0335)  3 Au 3.00-3.17
Nd (0.9508, 0.9019, 0.2500)  1 Au 3.13
Nd (0.0492, 0.0981, 0.7500)  1 Au 3.13
Au (0.7943, 0.5889, 0.7500)  6 Pr 3.00-3.17, 1 Nd 3.13
Au (0.2057, 0.4111, 0.2500)  6 Pr 3.00-3.17, 1 Nd 3.13

=====

5.
Compound: PrNdAu
Source: Alexandria via LeMat-Bulk
Functional: PBE
Structure: relaxed

Computed properties:
space group: Ima2 (46)
ΔE to the lowest computed polymorph: 0 meV per atom

a b c (Å): 7.4087 9.9844 9.5885
angles (deg): 121.38 112.73 90.00
Closest atoms and distances in Å follow each position.
Sites, in units of the cell vectors:
Pr (0.7660, 0.0520, 0.6040)  3 Au 3.17-3.18
Pr (0.1620, 0.9480, 0.3960)  3 Au 3.17-3.18
Pr (0.3665, 0.7510, 0.0019)  1 Au 3.09
Pr (0.3646, 0.2490, 0.9981)  1 Au 3.09
Pr (0.1631, 0.4470, 0.3941)  3 Au 3.17-3.19
Pr (0.7690, 0.5530, 0.6059)  3 Au 3.17-3.19
Nd (0.0305, 0.0000, 0.0000)  4 Au 2.95-3.10
Nd (0.0305, 0.5000, 0.0000)  4 Au 2.95-3.10
Nd (0.4809, 0.3726, 0.7426)  2 Au 2.93-2.98
Nd (0.7383, 0.6274, 0.2574)  2 Au 2.93-2.98
Nd (0.7383, 0.1300, 0.2574)  2 Au 2.93-2.98
Nd (0.4809, 0.8700, 0.7426)  2 Au 2.93-2.98
Au (0.7822, 0.2492, 0.9985)  3 Pr 3.09-3.19, 6 Nd 3.10-3.38
Au (0.7838, 0.7508, 0.0015)  3 Pr 3.09-3.19, 6 Nd 3.10-3.38
Au (0.4017, 0.1752, 0.3521)  3 Nd 2.93-2.98, 2 Pr 3.17
Au (0.0497, 0.8248, 0.6479)  3 Nd 2.93-2.98, 2 Pr 3.17
Au (0.0497, 0.3232, 0.6479)  3 Nd 2.93-2.98, 2 Pr 3.17
Au (0.4017, 0.6768, 0.3521)  3 Nd 2.93-2.98, 2 Pr 3.17

=====

6.
Compound: Pr2NdAu
Source: Alexandria via LeMat-Bulk
Functional: PBE
Structure: relaxed

Computed properties:
space group: P4/mmm (123)
ΔE to the lowest computed polymorph: 36 meV per atom

a b c (Å): 3.7711 3.7711 8.7289
angles (deg): 90.00 90.00 90.00
Closest atoms and distances in Å follow each position.
Sites, in units of the cell vectors:
Pr (0.0000, 0.0000, 0.7916)  4 Au 3.23
Pr (0.0000, 0.0000, 0.2084)  4 Au 3.23
Nd (0.5000, 0.5000, 0.5000)  8 Pr 3.69, 4 Nd 3.77
Au (0.5000, 0.5000, 0.0000)  8 Pr 3.23

=====

no.,theoretical density (Mg/m³),ΔH_f (0 K) (eV per atom)
1,11.0,-0.641
2,10.8,-0.751
3,9.7,-0.631
4,8.2,-0.360
5,8.9,-0.502
6,8.3,-0.349